La6Tb12Nd after structural relaxation, computed with PBE.

a b c (Å): 8.8572 8.8572 8.8572
angles (deg): 98.81 98.81 98.81
Sites, in units of the cell vectors:
Tb 0.7547 0.5000 0.2453
Tb 0.0805 0.3559 0.3559
Tb 0.6441 0.9195 0.6441
Tb 0.5000 0.7547 0.2453
Tb 0.3559 0.0805 0.3559
Tb 0.7547 0.2453 0.5000
Tb 0.2453 0.7547 0.5000
Tb 0.3559 0.3559 0.0805
Tb 0.5000 0.2453 0.7547
Tb 0.6441 0.6441 0.9195
Tb 0.9195 0.6441 0.6441
Tb 0.2453 0.5000 0.7547
La 0.9046 0.9046 0.3463
La 0.6537 0.0954 0.0954
La 0.0954 0.6537 0.0954
La 0.3463 0.9046 0.9046
La 0.0954 0.0954 0.6537
La 0.9046 0.3463 0.9046
Nd 0.0000 0.0000 0.0000

## Properties
**Density of states at the Fermi level**: 33.94 states/eV/cell
**Relative energy among the computed polymorphs**: 47 meV/atom
**Crystal system**: trigonal
**Calculated volume**: 35.1 Å³/atom

La3Tb4Nd5 after structural relaxation, computed with PBE.

a b c (Å): 7.2947 11.5727 13.2125
angles (deg): 151.27 56.41 129.16
Sites, in units of the cell vectors:
La 0.0000 0.0000 0.5000
La 0.5874 0.1692 0.3345
La 0.4126 0.8308 0.6655
Nd 0.6650 0.3317 0.1665
Nd 0.5000 0.0000 0.5000
Nd 0.3350 0.6683 0.8335
Nd 0.7476 0.5020 0.0021
Nd 0.2524 0.4980 0.9979
Tb 0.1645 0.3317 0.1663
Tb 0.8355 0.6683 0.8337
Tb 0.0827 0.1660 0.3312
Tb 0.9173 0.8340 0.6688

## Properties
**Density of states at the Fermi level**: 18.72 states/eV/cell
**Relative energy among the computed polymorphs**: 0 meV/atom
**Crystal system**: triclinic
**Calculated volume**: 34.6 Å³/atom

Q: Which of these has the highest calculated volume?
A: La6Tb12Nd

Q: Which formula does entry 2 have?
A: La3Tb4Nd5

Q: Look up the calculated volume of the first one.
A: 35.1 Å³/atom